<1>
Here is crystalline LuCuBPd at its relaxed geometry from OQMD. Energies are from GGA-PBE.

```
data_LuCuBPd
_cell_length_a 6.160
_cell_length_b 6.160
_cell_length_c 6.160
_cell_angle_alpha 90.00
_cell_angle_beta 90.00
_cell_angle_gamma 90.00
_symmetry_space_group_name_H-M 'F -4 3 m'
_symmetry_Int_Tables_number 216
_symmetry_space_group_name_Hall 'F -4 2 3'
loop_
_atom_site_label
_atom_site_fract_x
_atom_site_fract_y
_atom_site_fract_z
_atom_site_occupancy
Lu1 0.000 0.000 0.000 1
Cu1 0.250 0.250 0.750 1
B1 0.000 0.000 0.500 1
Pd1 0.250 0.250 0.250 1
```

=====

<2>
Here is crystalline LuCuBPd at its relaxed geometry from OQMD. Energies are from GGA-PBE.

```
data_LuCuBPd
_cell_length_a 6.219
_cell_length_b 6.219
_cell_length_c 6.219
_cell_angle_alpha 90.00
_cell_angle_beta 90.00
_cell_angle_gamma 90.00
_symmetry_space_group_name_H-M 'F -4 3 m'
_symmetry_Int_Tables_number 216
_symmetry_space_group_name_Hall 'F -4 2 3'
loop_
_atom_site_label
_atom_site_fract_x
_atom_site_fract_y
_atom_site_fract_z
_atom_site_occupancy
Lu1 0.000 0.000 0.000 1
Cu1 0.000 0.000 0.500 1
B1 0.250 0.250 0.250 1
Pd1 0.250 0.250 0.750 1
```

=====

So which one is most stable? That would be <2>, about 5.4 kJ/mol of atoms below the next structure.

=====

<1>
Here is crystalline LuCuBPt at its relaxed geometry from OQMD. Energies are from GGA-PBE.

```
data_LuCuBPt
_cell_length_a 6.197
_cell_length_b 6.197
_cell_length_c 6.197
_cell_angle_alpha 90.00
_cell_angle_beta 90.00
_cell_angle_gamma 90.00
_symmetry_space_group_name_H-M 'F -4 3 m'
_symmetry_Int_Tables_number 216
_symmetry_space_group_name_Hall 'F -4 2 3'
loop_
_atom_site_label
_atom_site_fract_x
_atom_site_fract_y
_atom_site_fract_z
_atom_site_occupancy
Lu1 0.000 0.000 0.000 1
Cu1 0.250 0.250 0.750 1
B1 0.000 0.000 0.500 1
Pt1 0.250 0.250 0.250 1
```

=====

<2>
Here is crystalline LuCuBPt at its relaxed geometry from OQMD. Energies are from GGA-PBE.

```
data_LuCuBPt
_cell_length_a 6.248
_cell_length_b 6.248
_cell_length_c 6.248
_cell_angle_alpha 90.00
_cell_angle_beta 90.00
_cell_angle_gamma 90.00
_symmetry_space_group_name_H-M 'F -4 3 m'
_symmetry_Int_Tables_number 216
_symmetry_space_group_name_Hall 'F -4 2 3'
loop_
_atom_site_label
_atom_site_fract_x
_atom_site_fract_y
_atom_site_fract_z
_atom_site_occupancy
Lu1 0.000 0.000 0.000 1
Cu1 0.000 0.000 0.500 1
B1 0.250 0.250 0.250 1
Pt1 0.250 0.250 0.750 1
```

=====

So which one is most stable? That would be <2>, about 3.5 kJ/mol of atoms below the next structure.